Record 1
{
  "formula": "Ce2Ga6Cu3",
  "functional": "PBE",
  "state": "optimized geometry",
  "mass_density_kg_m3": 7207,
  "magnetic_moment_mub_per_cell": 1.43,
  "crystal_system": "hexagonal",
  "e_tot_ev_per_atom": -4.22,
  "spacegroup": "P-62m",
  "lattice": [[7.5874, 0.0000, 0.0000], [-3.7937, 6.5709, 0.0000], [0.0000, 0.0000, 4.1092]],
  "species": ["Ce", "Ce", "Ga", "Ga", "Ga", "Ga", "Ga", "Ga", "Cu", "Cu", "Cu"],
  "frac_coords": [[0.3333, 0.6667, 0.0000], [0.6667, 0.3333, 0.0000], [0.0000, 0.1960, 0.0000], [0.0000, 0.6854, 0.5000], [0.1960, 0.0000, 0.0000], [0.3146, 0.3146, 0.5000], [0.6854, 0.0000, 0.5000], [0.8040, 0.8040, 0.0000], [0.0000, 0.3635, 0.5000], [0.3635, 0.0000, 0.5000], [0.6365, 0.6365, 0.5000]]
}

Record 2
{
  "formula": "CsMnSe",
  "functional": "PBE",
  "state": "optimized geometry",
  "mass_density_kg_m3": 4247,
  "e_form_raw_ev_per_atom": -0.420,
  "magnetic_moment_mub_per_cell": 7.27,
  "crystal_system": "monoclinic",
  "e_tot_ev_per_atom": -4.92,
  "spacegroup": "C2/m",
  "lattice": [[6.9556, -2.1788, 0.0000], [6.9556, 2.1788, 0.0000], [-2.2223, 0.0000, 6.8827]],
  "species": ["Cs", "Cs", "Mn", "Mn", "Se", "Se"],
  "frac_coords": [[0.0921, 0.0921, 0.3219], [0.9079, 0.9079, 0.6781], [0.2107, 0.2107, 0.9096], [0.7893, 0.7893, 0.0904], [0.3550, 0.3550, 0.2267], [0.6450, 0.6450, 0.7733]]
}

Record 3
{
  "formula": "Ac2TlPtO8",
  "functional": "PBE",
  "state": "optimized geometry",
  "mass_density_kg_m3": 8639,
  "e_form_raw_ev_per_atom": -1.569,
  "magnetic_moment_mub_per_cell": 0.50,
  "crystal_system": "triclinic",
  "e_tot_ev_per_atom": -6.26,
  "spacegroup": "P-1",
  "lattice": [[4.5049, 0.0000, 0.0000], [-0.2963, 5.4236, 0.0000], [-0.2902, -0.2488, 7.7216]],
  "species": ["Ac", "Ac", "Tl", "Pt", "O", "O", "O", "O", "O", "O", "O", "O"],
  "frac_coords": [[0.0395, 0.4892, 0.2585], [0.9605, 0.5108, 0.7415], [0.5000, 0.0000, 0.0000], [0.5000, 0.0000, 0.5000], [0.0828, 0.8903, 0.5092], [0.1384, 0.7333, 0.0096], [0.4346, 0.3016, 0.6483], [0.4429, 0.1862, 0.2769], [0.5571, 0.8138, 0.7231], [0.5654, 0.6984, 0.3517], [0.8616, 0.2667, 0.9904], [0.9172, 0.1097, 0.4908]]
}

Record 4
{
  "formula": "PmPr2Dy4",
  "functional": "PBE",
  "state": "optimized geometry",
  "mass_density_kg_m3": 6687,
  "magnetic_moment_mub_per_cell": 0.00,
  "polymorph_energy_mev_per_atom": 317.5,
  "crystal_system": "tetragonal",
  "e_tot_ev_per_atom": -4.04,
  "spacegroup": "I4/mmm",
  "lattice": [[-2.7870, 2.7870, 8.6069], [2.7870, -2.7870, 8.6069], [2.7870, 2.7870, -8.6069]],
  "species": ["Pm", "Pr", "Pr", "Dy", "Dy", "Dy", "Dy"],
  "frac_coords": [[0.0000, 0.0000, 0.0000], [0.3768, 0.3768, 0.0000], [0.6232, 0.6232, 0.0000], [0.0000, 0.5000, 0.5000], [0.1756, 0.1756, 0.0000], [0.5000, 0.0000, 0.5000], [0.8244, 0.8244, 0.0000]]
}

Record 5
{
  "formula": "Ag2Ge3O8",
  "functional": "PBE",
  "state": "optimized geometry",
  "mass_density_kg_m3": 5982,
  "e_form_raw_ev_per_atom": -1.045,
  "magnetic_moment_mub_per_cell": 1.84,
  "crystal_system": "monoclinic",
  "e_tot_ev_per_atom": -5.60,
  "spacegroup": "C2/m",
  "lattice": [[5.5739, -2.9586, 0.0000], [5.5739, 2.9586, 0.0000], [-1.7123, 0.0000, 4.7271]],
  "species": ["Ag", "Ag", "Ge", "Ge", "Ge", "O", "O", "O", "O", "O", "O", "O", "O"],
  "frac_coords": [[0.2220, 0.2220, 0.1826], [0.7780, 0.7780, 0.8174], [0.2394, 0.7606, 0.5000], [0.5000, 0.5000, 0.0000], [0.7606, 0.2394, 0.5000], [0.1014, 0.1014, 0.4489], [0.1801, 0.6195, 0.1098], [0.3805, 0.8199, 0.8902], [0.4032, 0.4032, 0.5940], [0.5968, 0.5968, 0.4060], [0.6195, 0.1801, 0.1098], [0.8199, 0.3805, 0.8902], [0.8986, 0.8986, 0.5511]]
}

Record 6
{
  "formula": "Be2RuRh",
  "functional": "PBE",
  "state": "optimized geometry",
  "mass_density_kg_m3": 7887,
  "magnetic_moment_mub_per_cell": 0.57,
  "crystal_system": "tetragonal",
  "e_tot_ev_per_atom": -5.97,
  "spacegroup": "I-42d",
  "lattice": [[-2.9600, 2.9600, 2.6675], [2.9600, -2.9600, 2.6675], [2.9600, 2.9600, -2.6675]],
  "species": ["Be", "Be", "Be", "Be", "Ru", "Ru", "Rh", "Rh"],
  "frac_coords": [[0.1217, 0.1250, 0.4967], [0.3750, 0.8783, 0.0033], [0.6283, 0.6250, 0.5033], [0.8750, 0.3717, 0.9967], [0.2500, 0.7500, 0.5000], [0.5000, 0.5000, 0.0000], [0.0000, 0.0000, 0.0000], [0.7500, 0.2500, 0.5000]]
}

Record 7
{
  "formula": "La2ZrBr",
  "functional": "PBE",
  "state": "optimized geometry",
  "mass_density_kg_m3": 6405,
  "e_form_raw_ev_per_atom": -0.274,
  "magnetic_moment_mub_per_cell": 0.00,
  "polymorph_energy_mev_per_atom": 189.4,
  "crystal_system": "orthorhombic",
  "e_tot_ev_per_atom": -5.29,
  "spacegroup": "Imm2",
  "lattice": [[-1.7359, 2.7909, 6.0066], [1.7359, -2.7909, 6.0066], [1.7359, 2.7909, -6.0066]],
  "species": ["La", "La", "Zr", "Br"],
  "frac_coords": [[0.0000, 0.0000, 0.0000], [0.7202, 0.2202, 0.5000], [0.2477, 0.7477, 0.5000], [0.4469, 0.4469, 0.0000]]
}

Record 8
{
  "formula": "Zr2CdH",
  "functional": "PBE",
  "state": "optimized geometry",
  "mass_density_kg_m3": 7218,
  "magnetic_moment_mub_per_cell": 0.00,
  "polymorph_energy_mev_per_atom": 0.0,
  "crystal_system": "monoclinic",
  "e_tot_ev_per_atom": -5.60,
  "spacegroup": "Cm",
  "lattice": [[2.1489, -2.1495, 0.0000], [2.1489, 2.1495, 0.0000], [-2.1420, 0.0000, 7.3680]],
  "species": ["Zr", "Zr", "Cd", "H"],
  "frac_coords": [[0.0000, 0.0000, 0.0000], [0.6734, 0.6734, 0.3421], [0.3385, 0.3385, 0.6755], [0.1441, 0.1441, 0.2841]]
}